This record from Alexandria via LeMat-Bulk describes ZrScCd2 after structural relaxation. The functional is PBEsol.

The structure belongs to space group Fm-3m (No. 225); the cell edges are 6.942, 6.942 and 6.942 Å and the angles 90.00°, 90.00° and 90.00°. The distinct sites, in fractional coordinates, are Zr at (0.000, 0.000, 0.000), Sc at (0.000, 0.000, 0.500) and Cd at (0.250, 0.250, 0.250).

The value obtained for the volume is 20.9 Å³/atom. As for the density of states at the Fermi level: 1.3263 states/eV per atom. The value obtained for the formation energy is -191 meV/atom.